An optimized crystal structure of AcPdPb, computed with GGA-PBE.

ΔE to the lowest computed polymorph = 0.147 eV per formula unit
total magnetization = 0.1 μB/f.u.
SG = F-43m, No. 216

Cell: 5.0456 5.0456 5.0456 Å, 60.00 60.00 60.00°
With the nearest neighbours (Å) after each atom.
Element x y z (fractional)
1 Ac 0.2500 0.2500 0.2500  4 Pd 3.09
2 Pd 0.0000 0.0000 0.0000  4 Ac 3.09, 4 Pb 3.09
3 Pb 0.7500 0.7500 0.7500  4 Pd 3.09